Density functional theory data (PBE) for a geometry-optimized KMg2CuF8 structure.

Lattice parameters (Å, degrees): 5.0258 5.0206 7.0401 79.28 79.20 78.43
Last column: magnetic moment on the atom in μB.
Positions (direct):
Mg 0.5496 0.5490 0.2696  0.00
Mg 0.4504 0.4510 0.7304  0.00
F 0.7573 0.1959 0.1984  0.13
F 0.2481 0.2532 0.9612  0.13
F 0.1992 0.7605 0.1973  0.13
F 0.2427 0.8041 0.8016  0.13
F 0.3390 0.3423 0.5061  0.01
F 0.8008 0.2395 0.8027  0.13
F 0.6610 0.6577 0.4939  0.01
F 0.7519 0.7468 0.0388  0.13
K 0.0000 0.0000 0.5000  0.00
Cu 0.0000 0.0000 0.0000  1.09

Computed properties:
The calculation puts the uncorrected formation energy at -31.6 eV/f.u. As for the total energy: -4.58 eV per atom. The value obtained for the density is 3.0 Mg/m³.